First-principles (PBE) data for Li6NiCl8 after structural relaxation, as listed in the Alexandria database.

abc: 7.2548 7.2548 7.2548
angles: 60.00 60.00 60.00
With the nearest neighbours (Å) after each atom.
Atoms (fractional coordinates):
1 Li 0.5000 0.0000 0.0000  6 Cl 2.56-2.57
2 Li 0.0000 0.5000 0.5000  6 Cl 2.56-2.57
3 Li 0.0000 0.5000 0.0000  6 Cl 2.56-2.57
4 Li 0.5000 0.0000 0.5000  6 Cl 2.56-2.57
5 Li 0.0000 0.0000 0.5000  6 Cl 2.56-2.57
6 Li 0.5000 0.5000 0.0000  6 Cl 2.56-2.57
7 Ni 0.0000 0.0000 0.0000  6 Cl 2.42
8 Cl 0.2500 0.2500 0.2500  6 Li 2.56
9 Cl 0.7500 0.7500 0.7500  6 Li 2.56
10 Cl 0.7643 0.2357 0.2357  1 Ni 2.42, 4 Li 2.57
11 Cl 0.2357 0.7643 0.7643  1 Ni 2.42, 4 Li 2.57
12 Cl 0.2357 0.7643 0.2357  1 Ni 2.42, 4 Li 2.57
13 Cl 0.7643 0.2357 0.7643  1 Ni 2.42, 4 Li 2.57
14 Cl 0.2357 0.2357 0.7643  1 Ni 2.42, 4 Li 2.57
15 Cl 0.7643 0.7643 0.2357  1 Ni 2.42, 4 Li 2.57

**Density**: 2.36 Mg/m³
**Raw formation energy**: -1.561 eV per atom

First-principles (PBE) data for CaHoCdRu after structural relaxation, as listed in the Alexandria database.

abc: 5.0329 5.0329 5.0329
angles: 60.00 60.00 60.00
With the nearest neighbours (Å) after each atom.
Atoms (fractional coordinates):
1 Ru 0.2500 0.2500 0.2500  4 Ca 3.08, 4 Ho 3.08
2 Ca 0.0000 0.0000 0.0000  4 Cd 3.08, 4 Ru 3.08
3 Ho 0.5000 0.5000 0.5000  4 Ru 3.08, 4 Cd 3.08
4 Cd 0.7500 0.7500 0.7500  4 Ho 3.08, 4 Ca 3.08

**Density**: 7.71 Mg/m³
**Energy of formation from the pure elements**: -0.11 eV per atom

The calculation returns the following VASP energy values, one per record and in order: -55.45; -17.22 eV for the cell shown.